[1]
5
Lattice="6.216 0.000 0.000 0.000 6.216 0.000 0.000 0.000 6.216" Properties=species:S:1:pos:R:3 comment="RbBaSn3, relaxed, DFT GGA-PBEsol" spacegroup="No. 221" ef_kcal_per_mol_atoms=12.5 pbc="T T T"
Rb 0.000 0.000 0.000
Ba 3.108 3.108 3.108
Sn 0.000 3.108 3.108
Sn 3.108 0.000 3.108
Sn 3.108 3.108 0.000

[2]
5
Lattice="3.938 0.000 0.000 0.000 3.938 0.000 0.000 0.000 4.307" Properties=species:S:1:pos:R:3 comment="NbP2CCl, relaxed, DFT GGA-PBEsol" raw_formation_energy_mev_per_atom=888 spacegroup="No. 123" pbc="T T T"
Nb 0.000 0.000 0.000
P 0.000 1.969 2.154
P 1.969 0.000 2.154
C 1.969 1.969 2.154
Cl 1.969 1.969 0.000

[3]
1
Lattice="-1.559 1.559 1.559 1.559 -1.559 1.559 1.559 1.559 -1.559" Properties=species:S:1:pos:R:3 comment="Pt, relaxed, DFT GGA-PBEsol" spacegroup="No. 229" relative_energy_mev_per_atom=109 ef_kcal_per_mol_atoms=2.5 pbc="T T T"
Pt 0.000 0.000 0.000

[4]
10
Lattice="-3.573 3.573 4.786 3.573 -3.573 4.786 3.573 3.573 -4.786" Properties=species:S:1:pos:R:3 comment="Rb3SmF6, relaxed, DFT GGA-PBEsol" raw_formation_energy_mev_per_atom=-3191 spacegroup="No. 139" pbc="T T T"
Rb 0.000 0.000 0.000
Rb 3.573 0.000 2.393
Rb 0.000 3.573 2.393
Sm 0.000 0.000 4.786
F 3.573 1.360 0.000
F 0.000 0.000 2.541
F 1.360 3.573 0.000
F 2.213 0.000 4.786
F 0.000 0.000 7.032
F 0.000 2.213 4.786

[5]
3
Lattice="0.000 3.777 3.777 3.777 0.000 3.777 3.777 3.777 0.000" Properties=species:S:1:pos:R:3 comment="BaHgSe, relaxed, DFT GGA-PBEsol" raw_formation_energy_mev_per_atom=-1026 spacegroup="No. 216" relative_energy_mev_per_atom=69 pbc="T T T"
Ba 0.000 0.000 0.000
Hg 3.777 3.777 3.777
Se 1.888 1.888 1.888

[6]
6
Lattice="3.190 0.000 0.000 0.000 3.190 0.000 0.000 0.000 13.349" Properties=species:S:1:pos:R:3 comment="Mg5In, relaxed, DFT GGA-PBEsol" spacegroup="No. 123" ef_kcal_per_mol_atoms=-0.8 pbc="T T T"
Mg 0.000 0.000 0.000
Mg 0.000 0.000 4.480
Mg 0.000 0.000 8.870
Mg 1.595 1.595 2.235
Mg 1.595 1.595 11.114
In 1.595 1.595 6.675

[7]
40
Lattice="3.866 0.000 0.000 0.000 20.038 0.000 0.000 0.000 11.427" Properties=species:S:1:pos:R:3 comment="Ho2Sn3Pb3S12, relaxed, DFT GGA-PBEsol" raw_formation_energy_mev_per_atom=-885 spacegroup="No. 26" pbc="T T T"
Ho 0.000 1.768 0.000
Ho 0.000 7.871 7.813
Ho 0.000 12.167 2.100
Ho 0.000 18.270 5.714
Sn 1.933 1.439 3.975
Sn 1.933 5.012 9.812
Sn 1.933 8.216 4.287
Sn 1.933 11.822 10.000
Sn 1.933 15.026 4.099
Sn 1.933 18.599 9.688
Pb 0.000 2.400 7.163
Pb 0.000 4.772 3.024
Pb 0.000 8.343 0.694
Pb 0.000 11.695 6.408
Pb 0.000 15.267 8.737
Pb 0.000 17.638 1.449
S 0.000 0.033 3.389
S 0.000 4.738 0.053
S 0.000 5.140 8.055
S 0.000 6.794 5.250
S 0.000 9.677 3.356
S 0.000 10.361 9.070
S 0.000 13.244 10.963
S 0.000 14.898 2.341
S 0.000 15.300 5.767
S 0.000 20.005 9.102
S 1.933 0.182 6.189
S 1.933 2.507 9.547
S 1.933 2.758 1.808
S 1.933 3.554 5.192
S 1.933 6.811 2.198
S 1.933 7.542 9.732
S 1.933 9.369 6.543
S 1.933 10.669 0.830
S 1.933 12.496 4.018
S 1.933 13.227 7.911
S 1.933 16.484 10.905
S 1.933 17.280 7.521
S 1.933 17.532 3.833
S 1.933 19.857 0.475

[8]
4
Lattice="2.861 0.000 0.000 0.000 2.861 0.000 0.000 0.000 8.578" Properties=species:S:1:pos:R:3 comment="RePt2Pb, relaxed, DFT GGA-PBEsol" spacegroup="No. 123" ef_kcal_per_mol_atoms=3.5 pbc="T T T"
Re 0.000 0.000 0.000
Pt 1.431 1.431 1.780
Pt 1.431 1.431 6.798
Pb 0.000 0.000 4.289

What did we get for E? Answer: -2.6491, -5.9233, -6.8544, -5.1641, -3.2142, -1.9620, -5.2496, -7.6611 eV per atom, in the order shown.
What did we get for magnetization? Answer: 0.00, 0.00, 0.00, 0.00, 0.00, 0.00, 0.00, 0.00 μB/f.u., in the order shown.